The following is a DFT calculation (PBE-GGA) of a geometry-optimized K2Ga4Sn3Pb structure.

total DFT energy (no corrections)	-3.15	eV/atom
SG	P-4m2, No. 115
calculated volume	283.2	Å³/f.u.
theoretical density	5.4	g cm⁻³

Lattice parameters (Å, degrees): 5.0036 5.0036 11.3113 90.00 90.00 90.00
Atoms (fractional coordinates):
K 0.5000 0.0000 0.2417
K 0.0000 0.5000 0.7583
Ga 0.5000 0.5000 0.0000
Ga 0.0000 0.0000 0.0000
Ga 0.5000 0.0000 0.6340
Ga 0.0000 0.5000 0.3660
Sn 0.0000 0.0000 0.5000
Sn 0.5000 0.0000 0.8757
Sn 0.0000 0.5000 0.1243
Pb 0.5000 0.5000 0.5000